(P)
Compound: RbBrCl4
Source: the Alexandria database
Functional: GGA-PBE
Structure: relaxed

Cell lengths 8.155, 7.145, 7.795 Å; angles 90.00, 110.23, 90.00 degrees
Atoms (fractional coordinates):
Rb 0.000 0.000 0.000
Rb 0.500 0.500 0.000
Br 0.000 0.500 0.500
Br 0.500 0.000 0.500
Cl 0.059 0.500 0.827
Cl 0.192 0.000 0.452
Cl 0.308 0.500 0.548
Cl 0.441 0.000 0.173
Cl 0.559 0.000 0.827
Cl 0.692 0.500 0.452
Cl 0.808 0.000 0.548
Cl 0.941 0.500 0.173

Values from the calculation:
Calculated density   2.4 Mg/m³

***

(Q)
Compound: RbBrCl4
Source: the Alexandria database
Functional: GGA-PBE
Structure: relaxed

Cell lengths 6.375, 8.088, 9.849 Å; angles 70.90, 76.50, 82.10 degrees
Atoms (fractional coordinates):
Rb 0.187 0.454 0.224
Rb 0.813 0.546 0.776
Br 0.295 0.039 0.836
Br 0.705 0.961 0.164
Cl 0.021 0.182 0.665
Cl 0.210 0.688 0.475
Cl 0.289 0.739 0.854
Cl 0.295 0.432 0.876
Cl 0.705 0.568 0.124
Cl 0.711 0.261 0.146
Cl 0.790 0.312 0.525
Cl 0.979 0.818 0.335

Values from the calculation:
Calculated density   2.2 Mg/m³

***

Energetically preferred structure: (Q) | next structure: +22 meV per atom

***

(P)
Compound: Rb2BrCl6
Source: the Alexandria database
Functional: GGA-PBE
Structure: relaxed

Cell lengths 6.077, 6.077, 10.303 Å; angles 90.15, 90.15, 59.91 degrees
Atoms (fractional coordinates):
Rb 0.167 0.167 0.251
Rb 0.833 0.833 0.749
Br 0.500 0.500 0.500
Cl 0.166 0.166 0.663
Cl 0.168 0.168 0.883
Cl 0.500 0.500 0.265
Cl 0.500 0.500 0.735
Cl 0.832 0.832 0.117
Cl 0.834 0.834 0.337

Values from the calculation:
Calculated density   2.3 Mg/m³

***

(Q)
Compound: Rb2BrCl6
Source: the Alexandria database
Functional: GGA-PBE
Structure: relaxed

Cell lengths 7.606, 7.606, 7.040 Å; angles 117.34, 117.34, 55.17 degrees
Atoms (fractional coordinates):
Rb 0.250 0.250 0.249
Rb 0.750 0.750 0.751
Br 0.500 0.500 0.000
Cl 0.244 0.244 0.741
Cl 0.257 0.737 0.238
Cl 0.263 0.743 0.762
Cl 0.737 0.257 0.238
Cl 0.743 0.263 0.762
Cl 0.756 0.756 0.259

Values from the calculation:
Calculated density   2.7 Mg/m³

***

Energetically preferred structure: (Q) | next structure: +48 meV per atom

***

(P)
Compound: RbBr2Cl2
Source: the Alexandria database
Functional: GGA-PBE
Structure: relaxed

Cell lengths 8.795, 8.795, 5.109 Å; angles 90.00, 90.00, 90.00 degrees
Atoms (fractional coordinates):
Rb 0.000 0.000 0.000
Rb 0.500 0.500 0.000
Br 0.171 0.329 0.500
Br 0.329 0.829 0.500
Br 0.671 0.171 0.500
Br 0.829 0.671 0.500
Cl 0.164 0.336 0.000
Cl 0.336 0.836 0.000
Cl 0.664 0.164 0.000
Cl 0.836 0.664 0.000

Values from the calculation:
Calculated density   2.7 Mg/m³

***

(Q)
Compound: RbBr2Cl2
Source: the Alexandria database
Functional: GGA-PBE
Structure: relaxed

Cell lengths 5.890, 5.890, 10.442 Å; angles 90.00, 90.00, 90.00 degrees
Atoms (fractional coordinates):
Rb 0.000 0.000 0.000
Rb 0.500 0.500 0.500
Br 0.000 0.000 0.390
Br 0.000 0.000 0.610
Br 0.500 0.500 0.110
Br 0.500 0.500 0.890
Cl 0.000 0.500 0.250
Cl 0.000 0.500 0.750
Cl 0.500 0.000 0.250
Cl 0.500 0.000 0.750

Values from the calculation:
Calculated density   2.9 Mg/m³

***

Energetically preferred structure: (P) | next structure: +285 meV per atom